(1)
3
Lattice="-4.389 -1.260 0.277 -3.311 3.048 -0.822 -2.527 -0.336 -3.799" Properties=species:S:1:pos:R:3 comment="NdAsOs (PBE, relaxed)" final_energy_ev_per_fu=-20.62 pbc="T T T"
Os 0.000 0.000 0.000
Nd -7.670 1.089 -3.258
As -2.557 0.363 -1.086


(2)
6
Lattice="-1.007 2.849 2.917 0.120 -4.077 1.000 9.939 0.914 2.537" Properties=species:S:1:pos:R:3 comment="Nd3AsP2 (PBE, relaxed)" final_energy_ev_per_fu=-38.94 pbc="T T T"
Nd 0.000 0.000 0.000
P 1.003 0.690 2.695
Nd 6.052 1.155 3.984
P 8.049 -1.005 3.759
As 4.969 0.457 1.268
Nd 3.000 -1.469 2.470


(3)
6
Lattice="-0.293 4.007 1.546 -1.376 -0.875 -3.984 -7.178 -1.618 2.834" Properties=species:S:1:pos:R:3 comment="Nd2AsPPd2 (PBE, relaxed)" final_energy_ev_per_fu=-37.19 pbc="T T T"
Nd -6.001 1.174 1.815
Pd -1.015 0.752 -2.140
Pd -3.589 -0.809 1.417
P -4.604 -0.057 -0.723
Nd -2.484 1.967 0.426
As 0.000 0.000 0.000


(4)
6
Lattice="-1.752 3.521 1.760 -1.758 -1.749 -3.524 -4.574 -4.542 4.536" Properties=species:S:1:pos:R:3 comment="Nd2AsPPd2 (PBE, relaxed)" final_energy_ev_per_fu=-37.19 pbc="T T T"
P -5.216 -1.674 3.432
Pd -2.860 0.666 1.096
As -1.179 -1.170 1.169
Nd -6.304 -4.510 2.749
Pd -3.399 -3.375 3.371
Nd -4.061 -2.282 0.524